The following is a GGA+U calculation of a relaxed La2WO6 crystal, from the Alexandria database.

The density of states at the Fermi level is 0.0 states/eV/f.u. The calculation puts the calculated volume at 14.27 Å³/atom. The space-group type is P2_12_12_1 (19). As for the total energy: -587.210 eV/cell.

abc: 7.5537 10.5628 12.8789
angles: 90.00 90.00 90.00
Element x y z (fractional)
La 0.0150 0.2281 0.4145
La 0.0697 0.0840 0.9162
La 0.2385 0.0463 0.1751
La 0.2376 0.5546 0.3654
La 0.2624 0.4454 0.8654
La 0.2615 0.9537 0.6751
La 0.4303 0.9160 0.4162
La 0.4850 0.7719 0.9145
La 0.5150 0.2719 0.5855
La 0.5697 0.4160 0.0838
La 0.7385 0.4537 0.8249
La 0.7376 0.9454 0.6346
La 0.7624 0.0546 0.1346
La 0.7615 0.5463 0.3249
La 0.9303 0.5840 0.5838
La 0.9850 0.7281 0.0855
W 0.0359 0.3788 0.1292
W 0.0577 0.7265 0.8177
W 0.4423 0.2735 0.3177
W 0.4641 0.6212 0.6292
W 0.5359 0.1212 0.8708
W 0.5577 0.7735 0.1823
W 0.9423 0.2265 0.6823
W 0.9641 0.8788 0.3708
O 0.0048 0.2923 0.8173
O 0.0229 0.5545 0.7688
O 0.0282 0.2013 0.0835
O 0.0301 0.9452 0.0722
O 0.0533 0.5465 0.2033
O 0.1019 0.9421 0.4847
O 0.1481 0.2439 0.6083
O 0.1768 0.3055 0.2510
O 0.1782 0.6541 0.9376
O 0.1784 0.8827 0.8524
O 0.1792 0.8549 0.2931
O 0.2470 0.5924 0.5527
O 0.2530 0.4076 0.0527
O 0.3208 0.1451 0.7931
O 0.3216 0.1173 0.3524
O 0.3218 0.3459 0.4376
O 0.3232 0.6945 0.7510
O 0.3519 0.7561 0.1083
O 0.3981 0.0579 0.9847
O 0.4467 0.4535 0.7033
O 0.4699 0.0548 0.5722
O 0.4718 0.7987 0.5835
O 0.4771 0.4455 0.2688
O 0.4952 0.7077 0.3173
O 0.5048 0.2077 0.1827
O 0.5229 0.9455 0.2312
O 0.5282 0.2987 0.9165
O 0.5301 0.5548 0.9278
O 0.5533 0.9535 0.7967
O 0.6019 0.5579 0.5153
O 0.6481 0.2561 0.3917
O 0.6768 0.1945 0.7490
O 0.6784 0.6173 0.1476
O 0.6782 0.8459 0.0624
O 0.6792 0.6451 0.7069
O 0.7470 0.9076 0.4473
O 0.7530 0.0924 0.9473
O 0.8208 0.3549 0.2069
O 0.8218 0.1541 0.5624
O 0.8216 0.3827 0.6476
O 0.8232 0.8055 0.2490
O 0.8519 0.7439 0.8917
O 0.8981 0.4421 0.0153
O 0.9467 0.0465 0.2967
O 0.9699 0.4452 0.4278
O 0.9718 0.7013 0.4165
O 0.9771 0.0545 0.7312
O 0.9952 0.7923 0.6827